No. 1
# LaHf2Rh2, optimized geometry, DFT PBE
# * total moment: 0.0 Bohr magnetons per cell
data_LaHf2Rh2
_space_group_name_H-M_alt 'I 4/m m m'
_space_group_IT_number 139
_space_group_name_Hall '-I 4 2'
_cell_length_a 4.7988
_cell_length_b 4.7988
_cell_length_c 10.2756
_cell_angle_alpha 90.00
_cell_angle_beta 90.00
_cell_angle_gamma 90.00
loop_
_atom_site_label
_atom_site_fract_x
_atom_site_fract_y
_atom_site_fract_z
La1 0.0000 0.0000 0.0000
Hf1 0.0000 0.0000 0.3482
Rh1 0.0000 0.5000 0.2500


No. 2
# La2Hf2Rh, optimized geometry, DFT PBE
# * total moment: 0.0 Bohr magnetons per cell
data_La2Hf2Rh
_space_group_name_H-M_alt 'P 4/m b m'
_space_group_IT_number 127
_space_group_name_Hall '-P 4 2ab'
_cell_length_a 6.9058
_cell_length_b 6.9058
_cell_length_c 5.5227
_cell_angle_alpha 90.00
_cell_angle_beta 90.00
_cell_angle_gamma 90.00
loop_
_atom_site_label
_atom_site_fract_x
_atom_site_fract_y
_atom_site_fract_z
La1 0.1670 0.3330 0.0000
Hf1 0.1551 0.6551 0.5000
Rh1 0.0000 0.0000 0.5000


no.,VASP energy (eV/atom)
1,-8.2814
2,-7.5770